Entry 1:
Material: Sb2PtICl
Method: DFT, PBE
State: optimized geometry

Cell and atoms, written as extended XYZ:
```
5
Lattice="-4.0600 2.0294 -2.6746 -0.1700 -4.3158 -3.0167 -3.5552 -2.3734 3.5960" Properties=species:S:1:pos:R:3 pbc="T T T"
Sb -0.0850 -2.1579 -1.5083
Sb -2.0300 1.0147 -1.3373
I -1.7776 -1.1867 1.7980
Cl -3.8927 -2.3299 -1.0476
Pt 0.0000 0.0000 0.0000
```

Properties
Space-group type ... P4/mmm (123)
Relative energy among the computed polymorphs ... 0 meV/atom
Crystal system ... tetragonal
Uncorrected formation energy ... 0.2210 eV per atom

=====

Entry 2:
Material: BaNaCuO3
Method: DFT, PBE
State: optimized geometry

Cell and atoms, written as extended XYZ:
```
12
Lattice="-1.2815 3.6671 -0.0891 -5.6768 -4.0983 -2.3036 -0.0118 0.1692 7.1327" Properties=species:S:1:pos:R:3 pbc="T T T"
O -1.8615 -0.5232 5.2357
O -1.6563 -0.5320 1.9250
O -6.2420 -2.1958 -0.6012
O -0.7282 1.9339 5.3411
O -5.3138 0.2701 2.8150
O -5.1087 0.2613 -0.4957
Na -4.7527 -1.6297 1.2802
Na -2.2174 1.3678 3.4597
Cu -6.8653 -0.3520 -0.4718
Cu -0.1048 0.0900 5.2118
Ba -2.6417 1.1367 0.0505
Ba -4.3284 -1.3986 4.6895
```

Properties
Space-group type ... C2/m (12)
Crystal system ... monoclinic
Uncorrected formation energy ... -1.4250 eV per atom

=====

Entry 3:
Material: BaF
Method: DFT, PBE
State: optimized geometry

Cell and atoms, written as extended XYZ:
```
16
Lattice="8.2747 0.0000 0.0000 0.0000 8.2747 0.0000 0.0000 0.0000 8.2747" Properties=species:S:1:pos:R:3 pbc="T T T"
F 5.2389 5.2389 5.2389
F 3.0358 3.0358 5.2389
F 1.1016 7.1732 7.1732
F 7.1732 1.1016 7.1732
F 7.1732 7.1732 1.1016
F 1.1016 1.1016 1.1016
F 3.0358 5.2389 3.0358
F 5.2389 3.0358 3.0358
Ba 6.7518 6.7518 6.7518
Ba 2.6144 2.6144 2.6144
Ba 5.6603 2.6144 5.6603
Ba 5.6603 5.6603 2.6144
Ba 2.6144 5.6603 5.6603
Ba 1.5229 1.5229 6.7518
Ba 1.5229 6.7518 1.5229
Ba 6.7518 1.5229 1.5229
```

Properties
Space-group type ... I-43m (217)
Crystal system ... cubic
Uncorrected formation energy ... -2.8054 eV per atom

=====

Entry 4:
Material: BaSi4Te
Method: DFT, PBE
State: optimized geometry

Cell and atoms, written as extended XYZ:
```
6
Lattice="0.0000 4.0479 4.0479 4.0479 0.0000 4.0479 4.0479 4.0479 0.0000" Properties=species:S:1:pos:R:3 pbc="T T T"
Si 4.9679 4.9679 3.1278
Si 4.9679 3.1278 4.9679
Si 3.1278 3.1278 3.1278
Si 3.1278 4.9679 4.9679
Te 6.0718 6.0718 6.0718
Ba 0.0000 0.0000 0.0000
```

Properties
Space-group type ... F-43m (216)
Crystal system ... cubic
Uncorrected formation energy ... 0.1870 eV per atom